# 1
DFT (PBE) results for YP2Os after structural relaxation.

Summary:
- Calculated density: 8.283 g/cm³
- Energy: -6.902 eV/atom
- DOS(E_F): 5.766 states/eV/cell

Cell: 6.4914 6.4914 6.4914 Å, 90.00 90.00 90.00°
Last column: nearest neighbours and their distance in Å.
Space group F-43m (No. 216)
Asymmetric unit:
Y 0.0000 0.0000 0.0000 [4 per cell]  4 Os 2.81, 4 P 2.81
P 0.0000 0.0000 0.5000 [4 per cell]  4 Os 2.81, 4 P 2.81
P 0.2500 0.2500 0.2500 [4 per cell]  4 Y 2.81, 4 P 2.81
Os 0.2500 0.2500 0.7500 [4 per cell]  4 Y 2.81, 4 P 2.81

***

# 2
DFT (PBE) results for YP2Os after structural relaxation.

Summary:
- Calculated density: 8.120 g/cm³
- Energy: -7.907 eV/atom
- DOS(E_F): 12.014 states/eV/cell

Cell: 3.8593 3.8593 16.2216 Å, 90.00 90.00 120.00°
Last column: nearest neighbours and their distance in Å.
Space group R-3m (No. 166, hexagonal axes)
Asymmetric unit:
Y 0.0000 0.0000 0.0000 [3 per cell]  6 P 2.80
P 0.0000 0.0000 0.2286 [6 per cell]  3 Os 2.44
Os 0.0000 0.0000 0.5000 [3 per cell]  6 P 2.44

***

# 3
DFT (PBE) results for YP2Os after structural relaxation.

Summary:
- Calculated density: 8.666 g/cm³
- Energy: -7.347 eV/atom
- DOS(E_F): 2.963 states/eV/cell

Cell: 4.5430 4.5430 3.1666 Å, 90.00 90.00 90.00°
Last column: nearest neighbours and their distance in Å.
Space group P4/mmm (No. 123)
Asymmetric unit:
Y 0.0000 0.0000 0.0000 [1 per cell]  8 P 2.77
P 0.0000 0.5000 0.5000 [2 per cell]  4 Os 2.77, 4 Y 2.77
Os 0.5000 0.5000 0.0000 [1 per cell]  8 P 2.77

***

# 4
DFT (PBE) results for YP2Os after structural relaxation.

Summary:
- Calculated density: 8.697 g/cm³
- Energy: -7.385 eV/atom
- DOS(E_F): 4.931 states/eV/cell

Cell: 4.0628 4.7365 6.7681 Å, 90.00 90.00 90.00°
Last column: nearest neighbours and their distance in Å.
Space group Cmmm (No. 65)
Asymmetric unit:
Y 0.0000 0.0000 0.0000 [2 per cell]  8 P 2.82-3.07, 4 Y 3.12
P 0.0000 0.5000 0.2881 [4 per cell]  4 Os 2.49-2.77
Os 0.0000 0.0000 0.5000 [2 per cell]  8 P 2.49-2.77

***

# 5
DFT (PBE) results for YP3Os after structural relaxation.

Summary:
- Calculated density: 4.851 g/cm³
- Energy: -4.874 eV/atom
- DOS(E_F): 8.102 states/eV/cell

Cell: 5.0312 5.0312 5.0312 Å, 90.00 90.00 90.00°
Last column: nearest neighbours and their distance in Å.
Space group Pm-3m (No. 221)
Asymmetric unit:
Y 0.0000 0.0000 0.0000 [1 per cell]  6 P 2.52
P 0.0000 0.0000 0.5000 [3 per cell]  2 Y 2.52
Os 0.5000 0.5000 0.5000 [1 per cell]  12 P 3.56

***

# 6
DFT (PBE) results for YP4Os after structural relaxation.

Summary:
- Calculated density: 7.036 g/cm³
- Energy: -6.137 eV/atom
- DOS(E_F): 9.327 states/eV/cell

Cell: 7.2463 7.2463 7.2463 Å, 90.00 90.00 90.00°
Last column: nearest neighbours and their distance in Å.
Space group F-43m (No. 216)
Asymmetric unit:
Y 0.0000 0.0000 0.0000 [4 per cell]  12 P 3.01, 4 Os 3.14
P 0.1220 0.1220 0.6220 [16 per cell]  6 P 2.50-2.62
Os 0.2500 0.2500 0.2500 [4 per cell]  12 P 3.00, 4 Y 3.14

***

# 7
DFT (PBE) results for YP12Os4 after structural relaxation.

Summary:
- Calculated density: 7.617 g/cm³
- Energy: -7.410 eV/atom
- DOS(E_F): 10.055 states/eV/cell

Cell: 8.1058 8.1058 8.1058 Å, 90.00 90.00 90.00°
Last column: nearest neighbours and their distance in Å.
Space group Im-3 (No. 204)
Asymmetric unit:
Y 0.0000 0.0000 0.0000 [2 per cell]  12 P 3.11
P 0.0000 0.3565 0.1425 [24 per cell]  2 P 2.31-2.33, 2 Os 2.37
Os 0.2500 0.2500 0.2500 [8 per cell]  6 P 2.37

***

# 8
DFT (PBE) results for YP2Os after structural relaxation.

Summary:
- Calculated density: 8.385 g/cm³
- Energy: -7.171 eV/atom
- DOS(E_F): 5.652 states/eV/cell

Cell: 3.7768 3.7768 9.4710 Å, 90.00 90.00 90.00°
Last column: nearest neighbours and their distance in Å.
Space group I-4m2 (No. 119)
Asymmetric unit:
Y 0.0000 0.0000 0.0000 [2 per cell]  4 P 2.67
P 0.0000 0.0000 0.5000 [2 per cell]  4 Y 2.67
P 0.0000 0.5000 0.2500 [2 per cell]  4 Os 2.67
Os 0.0000 0.5000 0.7500 [2 per cell]  4 P 2.67

***

- The highest energy belongs to which entry?
  YP3Os

***

- What is the energy in the seventh record?
  -7.410 eV/atom

***

- DOS(E_F) of number 7 (YP12Os4)?
  10.055 states/eV/cell

***

- What is the DOS(E_F) in the first record?
  5.766 states/eV/cell